La2AlCrBi: optimized geometry, PBE. Values from VASP.

Results
The total magnetization comes out at 0.08 μB per formula unit. Its theoretical density is 4.9 g cm⁻³. The formation energy from the elements is 6.14 eV/f.u.

The structure in Quantum ESPRESSO input format:
```
&SYSTEM
  ibrav = 0, nat = 5, ntyp = 4
/
ATOMIC_SPECIES
La 138.91 La.upf
Al 26.98 Al.upf
Cr 52.00 Cr.upf
Bi 208.98 Bi.upf
ATOMIC_POSITIONS crystal
La 0.000 0.500 0.000
La 0.500 0.000 0.000
Al 0.000 0.000 0.500
Cr 0.500 0.500 0.500
Bi 0.000 0.000 0.000
CELL_PARAMETERS angstrom
6.106 0.000 0.000
0.000 6.106 0.000
0.000 0.000 5.144
```